No. 1
4
Lattice="0.000 3.404 3.404 3.404 0.000 3.404 3.404 3.404 0.000" Properties=species:S:1:pos:R:3 comment="PBE-GGA ErInCuAg, optimized geometry" formation_enthalpy_0k_mev_per_atom=-316 mass_density_g_cm3=9.5 total_energy_ev_per_fu=-15.5 m_tot_mub_per_cell=0.00 pbc="T T T"
Er 0.000 0.000 0.000
In 3.404 3.404 3.404
Cu 5.106 5.106 5.106
Ag 1.702 1.702 1.702

No. 2
10
Lattice="4.001 0.000 0.000 0.000 4.001 0.000 0.000 0.000 9.881" Properties=species:S:1:pos:R:3 comment="PBE-GGA Pm2Si3Ni4Rh, optimized geometry" formation_energy_uncorrected_kj_per_mol_fu=-672 mass_density_g_cm3=7.5 total_energy_ev_per_fu=-63.2 m_tot_mub_per_cell=0.00 pbc="T T T"
Pm 0.000 2.001 2.462
Pm 2.001 0.000 7.419
Si 0.000 2.001 8.689
Si 2.001 0.000 1.192
Si 2.001 2.001 4.940
Ni 0.000 0.000 0.000
Ni 0.000 2.001 6.364
Ni 2.001 0.000 3.517
Ni 2.001 2.001 0.000
Rh 0.000 0.000 4.940

No. 3
4
Lattice="-2.043 2.043 5.157 2.043 -2.043 5.157 2.043 2.043 -5.157" Properties=species:S:1:pos:R:3 comment="PBE-GGA LaReCl2, optimized geometry" formation_energy_uncorrected_kj_per_mol_fu=19 mass_density_g_cm3=7.6 total_energy_ev_per_fu=-20.9 m_tot_mub_per_cell=2.18 pbc="T T T"
La 0.000 0.000 0.000
Re 2.043 0.000 2.578
Cl 0.000 0.000 5.157
Cl 0.000 2.043 2.578

No. 4
4
Lattice="5.087 -2.076 0.000 5.087 2.076 0.000 -2.100 0.000 5.631" Properties=species:S:1:pos:R:3 comment="PBE-GGA BiPAuS, optimized geometry" formation_energy_uncorrected_kj_per_mol_fu=21 mass_density_g_cm3=6.5 total_energy_ev_per_fu=-16.5 m_tot_mub_per_cell=0.00 pbc="T T T"
Bi 0.000 0.000 0.000
P 8.791 0.000 2.425
Au 3.297 0.000 3.617
S 7.559 0.000 0.680